(1)
PBE Tm2Zn3Pd2, optimized geometry; formation enthalpy at 0 K = -0.66 eV per atom; spin magnetization = 0.00 μB/atom
1.0
4.2745 0.0000 0.0000
-2.1372 4.6679 -1.0666
0.0000 -0.9702 6.7555
Pd Tm Zn
2 2 3
direct
0.1431 0.2863 0.2017 Pd
0.8569 0.7137 0.7983 Pd
0.1449 0.2898 0.7675 Tm
0.8551 0.7102 0.2325 Tm
0.5000 0.0000 0.0000 Zn
0.3800 0.7601 0.5626 Zn
0.6200 0.2399 0.4374 Zn

(2)
PBE Nb2Te5Rh, optimized geometry; E_form (uncorrected) = -1.5 eV per formula unit; spin magnetization = 0.00 μB/atom
1.0
5.4211 0.0000 0.0000
-2.7106 6.3339 0.0000
0.0000 0.0000 13.5032
Te Nb Rh
10 4 2
direct
0.0443 0.0886 0.3914 Te
0.9557 0.9114 0.8914 Te
0.9557 0.9114 0.6086 Te
0.0443 0.0886 0.1086 Te
0.6693 0.3385 0.8982 Te
0.7345 0.4690 0.2500 Te
0.3307 0.6615 0.3982 Te
0.6693 0.3385 0.6018 Te
0.2655 0.5310 0.7500 Te
0.3307 0.6615 0.1018 Te
0.1788 0.3576 0.9534 Nb
0.8212 0.6424 0.4534 Nb
0.1788 0.3576 0.5466 Nb
0.8212 0.6424 0.0466 Nb
0.1853 0.3706 0.2500 Rh
0.8147 0.6294 0.7500 Rh

(3)
PBE LaZn4W, optimized geometry; formation enthalpy at 0 K = 0.13 eV per atom; spin magnetization = 0.29 μB/atom
1.0
5.3095 0.0508 0.0309
2.6065 4.5442 0.8661
2.6215 0.7295 4.5596
Zn W La
4 1 1
direct
0.3728 0.3728 0.8817 Zn
0.8817 0.3728 0.3728 Zn
0.3728 0.8817 0.3728 Zn
0.3728 0.3728 0.3728 Zn
0.0000 0.0000 0.0000 W
0.7500 0.7500 0.7500 La

(4)
PBE CdPbN2, optimized geometry; E_form (uncorrected) = 0.6 eV per formula unit; spin magnetization = 0.00 μB/atom
1.0
2.7541 -1.6006 0.9823
-0.0373 3.2483 0.2095
1.6871 -2.1212 14.0750
Cd Pb N
1 1 2
direct
0.0651 0.0581 0.0054 Cd
0.2130 0.2098 0.2300 Pb
0.7349 0.6655 0.5717 N
0.4980 0.5775 0.6599 N

| no. | DOS at the Fermi energy (states/eV/atom) |
| --- | --- |
| 1 | 0.54 |
| 2 | 0.67 |
| 3 | 0.67 |
| 4 | 0.12 |